Record 1
VASP calculation (GGA-PBE) on a relaxed structure of CaNd2Hf.

Geometry as POSCAR:
```
CaNd2Hf
1.0
3.547 0.000 0.000
0.000 3.547 0.000
0.000 0.000 10.304
Ca Nd Hf
1 2 1
Cartesian
0.000 0.000 0.000 Ca
1.774 1.774 2.917 Nd
1.774 1.774 7.387 Nd
0.000 0.000 5.152 Hf
```

Space-group type: P4/mmm, No. 123
E, eV for the cell shown: -20.91
Energy relative to the elements, kJ per mole of atoms: 14.0
Total magnetic moment, μB per cell: 0.00


Record 2
VASP calculation (GGA-PBE) on a relaxed structure of CaNd2Hf.

Geometry as POSCAR:
```
CaNd2Hf
1.0
3.394 0.000 0.000
-1.697 2.939 0.000
0.000 0.000 38.050
Ca Nd Hf
3 6 3
Cartesian
0.000 0.000 0.000 Ca
0.000 1.960 25.366 Ca
1.697 0.980 12.683 Ca
0.000 0.000 15.944 Nd
0.000 0.000 22.106 Nd
0.000 1.960 3.260 Nd
0.000 1.960 9.423 Nd
1.697 0.980 28.627 Nd
1.697 0.980 34.789 Nd
0.000 0.000 19.025 Hf
0.000 1.960 6.342 Hf
1.697 0.980 31.708 Hf
```

Space-group type: R-3m, No. 166
E, eV for the cell shown: -59.01
Energy relative to the elements, kJ per mole of atoms: 43.9
Total magnetic moment, μB per cell: 0.00


Record 3
VASP calculation (GGA-PBE) on a relaxed structure of CaNdHf.

Geometry as POSCAR:
```
CaNdHf
1.0
10.800 0.000 0.000
0.000 3.405 0.000
-5.143 0.000 10.677
Ca Nd Hf
4 4 4
Cartesian
1.403 0.000 1.067 Ca
-1.146 1.703 9.610 Ca
6.803 1.703 1.067 Ca
4.254 0.000 9.610 Ca
-1.488 0.000 3.148 Nd
1.745 1.703 7.529 Nd
3.912 1.703 3.148 Nd
7.145 0.000 7.529 Nd
-1.107 1.703 5.891 Hf
1.364 0.000 4.786 Hf
4.293 0.000 5.891 Hf
6.764 1.703 4.786 Hf
```

Space-group type: C2/m, No. 12
E, eV for the cell shown: -63.80
Energy relative to the elements, kJ per mole of atoms: 24.9
Total magnetic moment, μB per cell: 0.00


Record 4
VASP calculation (GGA-PBE) on a relaxed structure of CaNdHfTiO6.

Geometry as POSCAR:
```
CaNdHfTiO6
1.0
0.000 4.013 4.013
4.013 0.000 4.013
4.013 4.013 0.000
Ca Nd Hf Ti O
1 1 1 1 6
Cartesian
0.000 0.000 0.000 Ca
4.013 4.013 4.013 Nd
6.019 6.019 6.019 Hf
2.006 2.006 2.006 Ti
2.006 2.006 0.038 O
2.006 0.038 2.006 O
3.975 2.006 2.006 O
0.038 2.006 2.006 O
2.006 3.975 2.006 O
2.006 2.006 3.975 O
```

Space-group type: F-43m, No. 216
E, eV for the cell shown: -85.41
Total magnetic moment, μB per cell: 0.00


Record 5
VASP calculation (GGA-PBE) on a relaxed structure of CaNd2HfP4.

Geometry as POSCAR:
```
CaNd2HfP4
1.0
6.911 0.000 0.000
0.000 4.021 0.000
-2.304 0.000 6.635
Ca Nd Hf P
1 2 1 4
Cartesian
0.000 0.000 0.000 Ca
2.304 0.000 3.317 Nd
3.456 2.010 0.000 Nd
-1.152 2.010 3.317 Hf
-0.113 0.000 4.846 P
1.023 2.010 1.735 P
3.584 2.010 4.900 P
4.720 0.000 1.789 P
```

Space-group type: P2/m, No. 10
E, eV for the cell shown: -53.78
Energy relative to the elements, kJ per mole of atoms: -128.5
Total magnetic moment, μB per cell: 0.00


Record 6
VASP calculation (GGA-PBE) on a relaxed structure of CaHfNi4.

Geometry as POSCAR:
```
CaHfNi4
1.0
0.000 3.513 3.513
3.513 0.000 3.513
3.513 3.513 0.000
Ca Hf Ni
1 1 4
Cartesian
0.000 0.000 0.000 Ca
5.269 5.269 5.269 Hf
2.638 2.638 2.638 Ni
4.387 4.387 2.638 Ni
4.387 2.638 4.387 Ni
2.638 4.387 4.387 Ni
```

Space-group type: F-43m, No. 216
E, eV for the cell shown: -36.68
Energy relative to the elements, kJ per mole of atoms: -25.8
Total magnetic moment, μB per cell: 0.00


Record 7
VASP calculation (GGA-PBE) on a relaxed structure of Ca2HfNi2.

Geometry as POSCAR:
```
Ca2HfNi2
1.0
6.703 0.000 0.000
0.000 6.703 0.000
0.000 0.000 4.746
Ca Hf Ni
4 2 4
Cartesian
1.180 2.172 0.000 Ca
2.172 5.523 0.000 Ca
4.531 1.180 0.000 Ca
5.523 4.531 0.000 Ca
0.000 0.000 2.373 Hf
3.351 3.351 2.373 Hf
0.835 4.186 2.373 Ni
2.517 0.835 2.373 Ni
4.186 5.868 2.373 Ni
5.868 2.517 2.373 Ni
```

Space-group type: P4/mbm, No. 127
E, eV for the cell shown: -51.46
Energy relative to the elements, kJ per mole of atoms: -4.1
Total magnetic moment, μB per cell: 0.00


Record 8
VASP calculation (GGA-PBE) on a relaxed structure of CaHf3Ni.

Geometry as POSCAR:
```
CaHf3Ni
1.0
4.950 0.000 0.000
0.000 4.950 0.000
0.000 0.000 4.950
Ca Hf Ni
1 3 1
Cartesian
0.000 0.000 0.000 Ca
0.000 2.475 2.475 Hf
2.475 0.000 2.475 Hf
2.475 2.475 0.000 Hf
2.475 2.475 2.475 Ni
```

Space-group type: Pm-3m, No. 221
E, eV for the cell shown: -36.22
Energy relative to the elements, kJ per mole of atoms: 27.5
Total magnetic moment, μB per cell: 0.00